1.
## NbAlZnNi (PBE)

Data for NbAlZnNi after structural relaxation.

abc: 6.1451 6.1451 6.1451
angles: 90.00 90.00 90.00
Space group F-43m (No. 216)
Unique sites:
Nb: 0.0000 0.0000 0.0000 [4 per cell]
Al: 0.2500 0.2500 0.2500 [4 per cell]
Zn: 0.2500 0.2500 0.7500 [4 per cell]
Ni: 0.0000 0.0000 0.5000 [4 per cell]

calculated density = 6.984 g/cm³
calculated total energy = -83.5 eV per cell
total magnetic moment = 0.1 μB/cell

---

2.
## LiAcPd2 (PBE)

Data for LiAcPd2 after structural relaxation.

abc: 7.6259 7.2213 5.9343
angles: 90.00 90.00 90.00
Space group Pnma (No. 62)
Unique sites:
Li: 0.1098 0.2500 0.1492 [4 per cell]
Ac: 0.0286 0.7500 0.3593 [4 per cell]
Pd: 0.1818 0.5493 0.9091 [8 per cell]

calculated density = 9.081 g/cm³
calculated total energy = -75.9 eV per cell
total magnetic moment = 0.0 μB/cell

---

3.
## Hf4Cu2AsP (PBE)

Data for Hf4Cu2AsP after structural relaxation.

abc: 5.2728 3.6479 7.5552
angles: 90.00 110.36 90.00
Space group Pm (No. 6)
Unique sites:
Hf: 0.0000 0.0000 0.0000 [1 per cell]
Hf: 0.0512 0.5000 0.6345 [1 per cell]
Hf: 0.4936 0.0000 0.4887 [1 per cell]
Hf: 0.5563 0.5000 0.1477 [1 per cell]
Cu: 0.1336 0.5000 0.2815 [1 per cell]
Cu: 0.4010 0.0000 0.8588 [1 per cell]
As: 0.6411 0.5000 0.7772 [1 per cell]
P: 0.9093 0.0000 0.3583 [1 per cell]

calculated density = 11.542 g/cm³
calculated total energy = -62.9 eV per cell
total magnetic moment = 0.0 μB/cell

---

4.
## NbZnNiPt (PBE)

Data for NbZnNiPt after structural relaxation.

abc: 6.1830 6.1830 6.1830
angles: 90.00 90.00 90.00
Space group F-43m (No. 216)
Unique sites:
Nb: 0.0000 0.0000 0.0000 [4 per cell]
Zn: 0.2500 0.2500 0.2500 [4 per cell]
Ni: 0.0000 0.0000 0.5000 [4 per cell]
Pt: 0.2500 0.2500 0.7500 [4 per cell]

calculated density = 11.580 g/cm³
formation energy = -0.23 eV/atom
offset from the most stable computed form = 0.120 eV/atom
total magnetic moment = 0.0 μB/cell

---

5.
## RbCuPdW (PBE)

Data for RbCuPdW after structural relaxation.

abc: 6.6583 6.6583 6.6583
angles: 90.00 90.00 90.00
Space group F-43m (No. 216)
Unique sites:
Rb: 0.0000 0.0000 0.0000 [4 per cell]
Cu: 0.0000 0.0000 0.5000 [4 per cell]
Pd: 0.2500 0.2500 0.7500 [4 per cell]
W: 0.2500 0.2500 0.2500 [4 per cell]

calculated density = 9.884 g/cm³
offset from the most stable computed form = 0.226 eV/atom
total magnetic moment = 5.7 μB/cell

---

6.
## Ir9Pb (PBE)

Data for Ir9Pb after structural relaxation.

abc: 2.7857 2.7857 51.0679
angles: 90.00 90.00 90.00
Space group P4/nmm (No. 129, origin choice 2)
Unique sites:
Ir: 0.2500 0.2500 0.0186 [2 per cell]
Ir: 0.2500 0.2500 0.0933 [2 per cell]
Ir: 0.2500 0.2500 0.1680 [2 per cell]
Ir: 0.2500 0.2500 0.2431 [2 per cell]
Ir: 0.2500 0.2500 0.3172 [2 per cell]
Ir: 0.2500 0.2500 0.7194 [2 per cell]
Ir: 0.2500 0.2500 0.7945 [2 per cell]
Ir: 0.2500 0.2500 0.8693 [2 per cell]
Ir: 0.2500 0.2500 0.9441 [2 per cell]
Pb: 0.2500 0.2500 0.6370 [2 per cell]

calculated density = 16.234 g/cm³
offset from the most stable computed form = 0.053 eV/atom
total magnetic moment = 0.0 μB/cell

---

7.
## TmHfSi (PBE)

Data for TmHfSi after structural relaxation.

abc: 6.4949 6.4949 6.4949
angles: 90.00 90.00 90.00
Space group F-43m (No. 216)
Unique sites:
Tm: 0.0000 0.0000 0.0000 [4 per cell]
Hf: 0.0000 0.0000 0.5000 [4 per cell]
Si: 0.2500 0.2500 0.7500 [4 per cell]

calculated density = 9.104 g/cm³
calculated total energy = -82.6 eV per cell
total magnetic moment = 0.1 μB/cell

---

8.
## Ag2Sb2O5 (PBE)

Data for Ag2Sb2O5 after structural relaxation.

abc: 4.1604 4.1604 6.9980
angles: 90.00 90.00 90.00
Space group P4/mmm (No. 123)
Unique sites:
Ag: 0.0000 0.0000 0.1955 [2 per cell]
Sb: 0.5000 0.5000 0.0000 [1 per cell]
Sb: 0.5000 0.5000 0.5000 [1 per cell]
O: 0.0000 0.0000 0.5000 [1 per cell]
O: 0.0000 0.5000 0.2085 [4 per cell]

calculated density = 7.393 g/cm³
offset from the most stable computed form = 0.593 eV/atom

---

9.
## Nd2Al (PBE)

Data for Nd2Al after structural relaxation.

abc: 6.7490 5.2530 9.9134
angles: 90.00 90.00 90.00
Space group Pnma (No. 62)
Unique sites:
Nd: 0.0292 0.2500 0.2028 [4 per cell]
Nd: 0.1872 0.2500 0.5765 [4 per cell]
Al: 0.2059 0.2500 0.8966 [4 per cell]

calculated density = 5.962 g/cm³
calculated total energy = -56.0 eV per cell
total magnetic moment = 0.0 μB/cell

---

10.
## PbAu9 (PBE)

Data for PbAu9 after structural relaxation.

abc: 3.0062 3.9331 38.8170
angles: 90.00 90.00 90.00
Space group Pmmn (No. 59, origin choice 2)
Unique sites:
Pb: 0.2500 0.2500 0.1163 [2 per cell]
Au: 0.2500 0.2500 0.2031 [2 per cell]
Au: 0.2500 0.2500 0.2828 [2 per cell]
Au: 0.2500 0.2500 0.3621 [2 per cell]
Au: 0.2500 0.2500 0.4411 [2 per cell]
Au: 0.2500 0.2500 0.5197 [2 per cell]
Au: 0.2500 0.2500 0.5984 [2 per cell]
Au: 0.2500 0.2500 0.6776 [2 per cell]
Au: 0.2500 0.2500 0.7568 [2 per cell]
Au: 0.2500 0.2500 0.8372 [2 per cell]

calculated density = 14.327 g/cm³
offset from the most stable computed form = 0.000 eV/atom

---

11.
## TmCoRe (PBE)

Data for TmCoRe after structural relaxation.

abc: 6.2294 6.2294 6.2294
angles: 90.00 90.00 90.00
Space group F-43m (No. 216)
Unique sites:
Tm: 0.0000 0.0000 0.0000 [4 per cell]
Co: 0.2500 0.2500 0.7500 [4 per cell]
Re: 0.2500 0.2500 0.2500 [4 per cell]

calculated density = 11.377 g/cm³
formation energy = 1.50 eV/atom
total magnetic moment = 12.7 μB/cell

---

12.
## DyTeNO (PBE)

Data for DyTeNO after structural relaxation.

abc: 4.0451 6.2165 6.3702
angles: 90.00 90.00 90.00
Space group Pmc2_1 (No. 26)
Unique sites:
Dy: 0.0000 0.1975 0.0000 [2 per cell]
Te: 0.5000 0.3368 0.4043 [2 per cell]
N: 0.5000 0.3746 0.0575 [2 per cell]
O: 0.0000 0.0713 0.6968 [2 per cell]

calculated density = 6.637 g/cm³
offset from the most stable computed form = 0.397 eV/atom
total magnetic moment = 0.0 μB/cell

---

13.
## BaTmB (PBE)

Data for BaTmB after structural relaxation.

abc: 6.8360 6.8360 6.8360
angles: 90.00 90.00 90.00
Space group F-43m (No. 216)
Unique sites:
Ba: 0.0000 0.0000 0.0000 [4 per cell]
Tm: 0.0000 0.0000 0.5000 [4 per cell]
B: 0.2500 0.2500 0.2500 [4 per cell]

calculated density = 6.593 g/cm³
offset from the most stable computed form = 0.000 eV/atom
total magnetic moment = 0.0 μB/cell

---

14.
## SmAsPbO (PBE)

Data for SmAsPbO after structural relaxation.

abc: 4.0469 8.9217 6.1069
angles: 90.00 90.00 90.00
Space group Pmc2_1 (No. 26)
Unique sites:
Sm: 0.0000 0.1631 0.0000 [2 per cell]
As: 0.0000 0.1648 0.4916 [2 per cell]
Pb: 0.5000 0.3671 0.5998 [2 per cell]
O: 0.5000 0.2629 0.9590 [2 per cell]

calculated density = 6.755 g/cm³
offset from the most stable computed form = 0.033 eV/atom
total magnetic moment = 0.0 μB/cell

---

15.
## Ho2Sc2CI3Cl2 (PBE)

Data for Ho2Sc2CI3Cl2 after structural relaxation.

abc: 17.8642 3.7941 8.0856
angles: 90.00 100.23 90.00
Space group C2/m (No. 12)
Unique sites:
Ho: 0.1335 0.0000 0.0651 [4 per cell]
Sc: 0.0011 0.5000 0.8170 [4 per cell]
C: 0.0000 0.0000 0.0000 [2 per cell]
I: 0.0000 0.0000 0.5000 [2 per cell]
I: 0.1719 0.5000 0.7973 [4 per cell]
Cl: 0.1468 0.5000 0.3044 [4 per cell]

calculated density = 5.440 g/cm³
offset from the most stable computed form = 0.021 eV/atom
total magnetic moment = 0.4 μB/cell

---

16.
## KNaZrTe3 (PBE)

Data for KNaZrTe3 after structural relaxation.

abc: 9.4666 4.3063 10.5035
angles: 90.00 106.80 90.00
Space group P2_1/m (No. 11)
Unique sites:
K: 0.2268 0.2500 0.2611 [2 per cell]
Na: 0.0648 0.2500 0.6055 [2 per cell]
Zr: 0.3231 0.7500 0.8433 [2 per cell]
Te: 0.1293 0.2500 0.8945 [2 per cell]
Te: 0.2668 0.7500 0.5603 [2 per cell]
Te: 0.4559 0.7500 0.1411 [2 per cell]

calculated density = 4.344 g/cm³
offset from the most stable computed form = 0.077 eV/atom
total magnetic moment = 0.0 μB/cell

---

17.
## NdZnInTe3 (PBE)

Data for NdZnInTe3 after structural relaxation.

abc: 20.0469 4.4223 9.2131
angles: 90.00 103.05 90.00
Space group C2/m (No. 12)
Unique sites:
Nd: 0.1700 0.0000 0.0812 [4 per cell]
Zn: 0.0378 0.5000 0.2241 [4 per cell]
In: 0.1274 0.0000 0.5710 [4 per cell]
Te: 0.0000 0.0000 0.0000 [2 per cell]
Te: 0.0000 0.5000 0.5000 [2 per cell]
Te: 0.1702 0.5000 0.8427 [4 per cell]
Te: 0.1743 0.5000 0.3270 [4 per cell]

calculated density = 5.904 g/cm³
offset from the most stable computed form = 0.131 eV/atom
total magnetic moment = 0.0 μB/cell

---

18.
## Ba2AgHg (PBE)

Data for Ba2AgHg after structural relaxation.

abc: 7.9157 7.9157 7.9157
angles: 90.00 90.00 90.00
Space group F-43m (No. 216)
Unique sites:
Ba: 0.0000 0.0000 0.0000 [4 per cell]
Ba: 0.2500 0.2500 0.2500 [4 per cell]
Ag: 0.0000 0.0000 0.5000 [4 per cell]
Hg: 0.2500 0.2500 0.7500 [4 per cell]

calculated density = 7.809 g/cm³
calculated total energy = -30.7 eV per cell

---

19.
## TbSnTe3Au (PBE)

Data for TbSnTe3Au after structural relaxation.

abc: 11.1402 4.2899 14.7676
angles: 90.00 90.00 90.00
Space group Pnma (No. 62)
Unique sites:
Tb: 0.0195 0.2500 0.2444 [4 per cell]
Sn: 0.2231 0.7500 0.5244 [4 per cell]
Te: 0.0387 0.2500 0.6061 [4 per cell]
Te: 0.0732 0.7500 0.0967 [4 per cell]
Te: 0.2337 0.7500 0.8470 [4 per cell]
Au: 0.2440 0.2500 0.7225 [4 per cell]

calculated density = 8.069 g/cm³
offset from the most stable computed form = 0.000 eV/atom
total magnetic moment = 0.0 μB/cell

---

20.
## Cs3Ta2Cu3S8 (PBE)

Data for Cs3Ta2Cu3S8 after structural relaxation.

abc: 20.7119 5.6217 7.8565
angles: 90.00 98.63 90.00
Space group C2 (No. 5)
Unique sites:
Cs: 0.0000 0.0000 0.0000 [2 per cell]
Cs: 0.1759 0.5224 0.1992 [4 per cell]
Ta: 0.1280 0.2750 0.6859 [4 per cell]
Cu: 0.0000 0.2698 0.5000 [2 per cell]
Cu: 0.1250 0.7745 0.6796 [4 per cell]
S: 0.0413 0.5078 0.7415 [4 per cell]
S: 0.0919 0.0428 0.4472 [4 per cell]
S: 0.1607 0.0250 0.9127 [4 per cell]
S: 0.2112 0.5208 0.6430 [4 per cell]

calculated density = 4.435 g/cm³
calculated total energy = -173.3 eV per cell
total magnetic moment = 0.0 μB/cell